First-principles (PBE) data for a geometry-optimized PmNd8Y2 structure, as listed in Alexandria.

a = 9.231 Å, b = 16.756 Å, c = 6.055 Å
α = 90.00°, β = 124.45°, γ = 90.00°
Space group C2/m (No. 12)
Symmetry-distinct sites (fractional):
Pm 0.000 0.000 0.000
Nd 0.000 0.205 0.000
Nd 0.075 0.500 0.796
Nd 0.219 0.119 0.684
Y 0.000 0.310 0.500

Summary:
Formation enthalpy at 0 K (meV per atom): 133
Energy (eV/atom): -4.942
DOS at the Fermi energy (states/eV/atom): 1.41
Spin magnetization (μB per formula unit): 0.00
Distance to the lowest polymorph of the same formula (meV/atom): 118.8